No. 1
Density functional theory data (PBEsol) for a relaxed BaP2Rh2 crystal.

Cell and atoms, written as POSCAR:
```
BaP2Rh2
1.0
-1.953 1.953 6.291
1.953 -1.953 6.291
1.953 1.953 -6.291
Ba P Rh
1 2 2
Cartesian
0.000 0.000 0.000
0.000 0.000 4.427
0.000 0.000 8.156
1.953 0.000 3.146
0.000 1.953 3.146
```

Calculated values
- final energy (eV/cell) = -35.0

No. 2
Density functional theory data (PBEsol) for a relaxed BaPRh2 crystal.

Cell and atoms, written as POSCAR:
```
BaPRh2
1.0
3.587 -1.988 0.000
3.587 1.988 0.000
-1.948 0.000 5.880
Ba P Rh
1 1 2
Cartesian
0.000 0.000 0.000
4.670 0.000 2.672
-0.058 0.000 3.365
2.307 0.000 2.244
```

Calculated values
- final energy (eV/cell) = -26.4

No. 3
Density functional theory data (PBEsol) for a relaxed BaPRh2 crystal.

Cell and atoms, written as POSCAR:
```
BaPRh2
1.0
-1.990 1.990 4.636
1.990 -1.990 4.636
1.990 1.990 -4.636
Ba P Rh
1 1 2
Cartesian
0.000 0.000 0.000
0.000 1.990 2.318
1.990 0.000 2.318
0.000 0.000 4.636
```

Calculated values
- final energy (eV/cell) = -22.9